VASP calculation (PBE) on crystalline Dy2Tm2Hg3 at its relaxed geometry.

Summary:
calculated total energy: -3.0383 eV/atom

CIF file:
```
data_Dy2Tm2Hg3
_symmetry_space_group_name_H-M 'P -1'
_symmetry_Int_Tables_number 2
_cell_length_a 5.133
_cell_length_b 5.140
_cell_length_c 8.937
_cell_angle_alpha 90.02
_cell_angle_beta 106.68
_cell_angle_gamma 119.84
loop_
_symmetry_equiv_pos_as_xyz
'x,y,z'
'-x,-y,-z'
loop_
_atom_site_label
_atom_site_fract_x
_atom_site_fract_y
_atom_site_fract_z
Dy1 0.246 0.373 0.119
Tm1 0.255 0.878 0.633
Hg1 0.002 0.251 0.754
Hg2 0.500 0.500 0.500
```